A geometry-optimized Sr2CdPd2 structure, computed with PBE.

Calculated values
ΔH_f (0 K), meV per atom: -426
DOS at the Fermi energy, states/eV/f.u.: 2.85

```
Sr2CdPd2
1.0
5.938 0.000 0.000
0.000 5.938 0.000
2.969 2.969 4.077
Sr Pd Cd
2 2 1
Direct
0.250 0.750 0.500 Sr
0.750 0.250 0.500 Sr
0.663 0.663 0.674 Pd
0.337 0.337 0.326 Pd
0.000 0.000 0.000 Cd
```

***

A geometry-optimized SrCdPd3 structure, computed with PBE.

Calculated values
ΔH_f (0 K), meV per atom: 768
Energy above the most stable polymorph in this dataset, meV per atom: 1150
DOS at the Fermi energy, states/eV/f.u.: 1.42

```
SrCdPd3
1.0
-3.495 3.732 -0.745
-1.589 -0.511 4.890
3.458 3.537 1.493
Pd Sr Cd
3 1 1
Direct
0.500 0.000 0.000 Pd
0.000 0.500 0.000 Pd
0.000 0.000 0.500 Pd
0.000 0.000 0.000 Sr
0.500 0.500 0.500 Cd
```

***

A geometry-optimized Sr3Cd3Pd structure, computed with PBE.

Calculated values
ΔH_f (0 K), meV per atom: -413
DOS at the Fermi energy, states/eV/f.u.: 4.75

```
Sr3Cd3Pd
1.0
4.358 0.000 0.656
2.122 6.018 0.705
-0.294 0.415 16.742
Sr Cd Pd
6 6 2
Direct
0.259 0.238 0.245 Sr
0.516 0.356 0.612 Sr
0.613 0.696 0.079 Sr
0.741 0.762 0.755 Sr
0.484 0.644 0.388 Sr
0.387 0.304 0.921 Sr
0.026 0.183 0.765 Cd
0.104 0.871 0.921 Cd
0.828 0.809 0.536 Cd
0.896 0.129 0.079 Cd
0.172 0.191 0.464 Cd
0.974 0.817 0.235 Cd
0.213 0.949 0.625 Pd
0.787 0.051 0.375 Pd
```

***

A geometry-optimized Sr3Cd2Pd7 structure, computed with PBE.

Calculated values
ΔH_f (0 K), meV per atom: -576
DOS at the Fermi energy, states/eV/f.u.: 5.79

```
Sr3Cd2Pd7
1.0
-2.212 0.407 -5.261
1.977 -3.344 -4.201
-6.140 -7.163 -1.084
Pd Cd Sr
7 2 3
Direct
0.584 0.083 0.749 Pd
0.584 0.584 0.749 Pd
0.500 0.500 0.500 Pd
0.083 0.584 0.749 Pd
0.416 0.917 0.251 Pd
0.416 0.416 0.251 Pd
0.917 0.416 0.251 Pd
0.667 0.667 0.000 Cd
0.333 0.333 0.000 Cd
0.000 0.000 0.000 Sr
0.860 0.860 0.420 Sr
0.140 0.140 0.580 Sr
```

***

Q: What is the formula in the first record?
A: Sr2CdPd2